The following is a meta-GGA SCAN calculation of a PBEsol-optimized structure of CaCdRe2, from the Alexandria database.

ΔH_f (0 K)   0.754 eV/atom

The structure in extended XYZ format:
```
4
Lattice="-0.9593 -1.1260 -2.1822 4.9743 0.4092 -2.3980 -1.2947 -4.5313 2.9074" Properties=species:S:1:pos:R:3 pbc="T T T"
Re -0.6473 -2.2656 1.4537
Cd 1.3602 -2.6240 -0.8364
Re 2.4872 0.2046 -1.1990
Ca -0.4797 -0.5630 -1.0911
```